#A
Entry from the Alexandria database: crystalline CoGe3C at its relaxed geometry (GGA-PBE).

Cell lengths 4.209, 4.209, 4.209 Å; angles 90.00, 90.00, 90.00 degrees
Sites, in units of the cell vectors:
Co  0.000  0.000  0.000
Ge  0.000  0.500  0.500
Ge  0.500  0.000  0.500
Ge  0.500  0.500  0.000
C  0.500  0.500  0.500

Summary:
calculated volume = 14.916 Å³ per atom
space-group type = Pm-3m

***

#B
Entry from the Alexandria database: crystalline CoGe3C at its relaxed geometry (GGA-PBE).

Cell lengths 4.453, 4.453, 4.453 Å; angles 90.00, 90.00, 90.00 degrees
Sites, in units of the cell vectors:
Co  0.000  0.000  0.000
Ge  0.000  0.000  0.500
Ge  0.000  0.500  0.000
Ge  0.500  0.000  0.000
C  0.500  0.500  0.500

Summary:
calculated volume = 17.662 Å³ per atom
space-group type = Pm-3m

***

Most stable to least stable, the ends of the list are #A and #B.